Run 1
Here is a relaxed CrFeB crystal from Alexandria. Energies are from GGA-PBE.

Cell and atoms, written as POSCAR:
```
CrFeB
1.0
3.737 0.000 0.000
1.857 3.585 0.000
0.716 0.714 4.133
Cr Fe B
2 2 2
Direct
0.145 0.262 0.319
0.855 0.738 0.681
0.478 0.643 0.223
0.522 0.357 0.777
0.162 0.053 0.838
0.838 0.947 0.162
```

---

Run 2
Here is a relaxed CrFeB crystal from Alexandria. Energies are from GGA-PBE.

Cell and atoms, written as POSCAR:
```
CrFeB
1.0
4.300 -1.284 0.000
4.300 1.284 0.000
-1.576 0.000 4.912
Cr Fe B
2 2 2
Direct
0.143 0.143 0.079
0.857 0.857 0.921
0.150 0.150 0.572
0.850 0.850 0.428
0.495 0.495 0.282
0.505 0.505 0.718
```

---

Run 3
Here is a relaxed CrFeB crystal from Alexandria. Energies are from GGA-PBE.

Cell and atoms, written as POSCAR:
```
CrFeB
1.0
4.024 -1.455 0.000
4.024 1.455 0.000
-3.390 0.000 4.683
Cr Fe B
2 2 2
Direct
0.082 0.082 0.350
0.918 0.918 0.650
0.327 0.327 0.920
0.673 0.673 0.080
0.373 0.373 0.340
0.627 0.627 0.660
```

---

Short version: run 3, run 2, run 1, most stable first.

---

Run 1
Here is a relaxed CrFeB crystal from Alexandria. Energies are from GGA-PBE.

Cell and atoms, written as POSCAR:
```
CrFeB
1.0
-1.373 2.367 4.241
1.373 -2.367 4.241
1.373 2.367 -4.241
Cr Fe B
2 2 2
Direct
0.210 0.210 0.000
0.790 0.790 0.000
0.240 0.500 0.740
0.760 0.500 0.260
0.394 0.894 0.500
0.606 0.106 0.500
```

---

Run 2
Here is a relaxed CrFeB crystal from Alexandria. Energies are from GGA-PBE.

Cell and atoms, written as POSCAR:
```
CrFeB
1.0
3.842 0.000 0.000
0.049 3.857 0.000
0.976 0.986 3.892
Cr Fe B
2 2 2
Direct
0.000 0.000 0.000
0.413 0.900 0.363
0.508 0.510 0.985
0.919 0.401 0.396
0.063 0.537 0.809
0.847 0.865 0.577
```

---

Short version: run 1, run 2, most stable first.

---

Run 1
Here is a relaxed CrFeB crystal from Alexandria. Energies are from GGA-PBE.

Cell and atoms, written as POSCAR:
```
CrFeB
1.0
4.227 -1.312 0.000
4.227 1.312 0.000
-1.722 0.000 4.881
Cr Fe B
2 2 2
Direct
0.164 0.164 0.322
0.836 0.836 0.678
0.137 0.137 0.825
0.863 0.863 0.175
0.500 0.500 0.000
0.500 0.500 0.500
```

---

Run 2
Here is a relaxed CrFeB crystal from Alexandria. Energies are from GGA-PBE.

Cell and atoms, written as POSCAR:
```
CrFeB
1.0
0.000 3.516 3.663
2.078 0.000 3.663
2.078 3.516 0.000
Cr Fe B
2 2 2
Direct
0.160 0.840 0.160
0.840 0.160 0.840
0.337 0.337 0.663
0.663 0.663 0.337
0.250 0.250 0.250
0.750 0.750 0.750
```

---

Short version: run 2, run 1, most stable first.

---

Run 1
Here is a relaxed CrFeB2 crystal from Alexandria. Energies are from GGA-PBE.

Cell and atoms, written as POSCAR:
```
CrFeB2
1.0
2.927 0.000 0.000
0.000 4.113 0.000
0.000 0.000 5.478
Cr Fe B
2 2 4
Direct
0.000 0.126 0.000
0.000 0.874 0.500
0.500 0.366 0.643
0.500 0.634 0.143
0.000 0.371 0.356
0.000 0.629 0.856
0.500 0.143 0.286
0.500 0.857 0.786
```

---

Run 2
Here is a relaxed CrFeB2 crystal from Alexandria. Energies are from GGA-PBE.

Cell and atoms, written as POSCAR:
```
CrFeB2
1.0
2.932 0.000 0.000
0.000 1.470 3.838
0.000 -1.470 3.838
Cr Fe B
1 1 2
Direct
0.000 0.000 0.000
0.500 0.715 0.715
0.000 0.290 0.290
0.500 0.425 0.425
```

---

Run 3
Here is a relaxed CrFeB2 crystal from Alexandria. Energies are from GGA-PBE.

Cell and atoms, written as POSCAR:
```
CrFeB2
1.0
1.670 0.964 3.563
-1.670 0.964 3.563
0.000 -1.929 3.563
Cr Fe B
1 1 2
Direct
0.000 0.000 0.000
0.500 0.500 0.500
0.221 0.221 0.221
0.779 0.779 0.779
```

---

Run 4
Here is a relaxed CrFeB2 crystal from Alexandria. Energies are from GGA-PBE.

Cell and atoms, written as POSCAR:
```
CrFeB2
1.0
0.000 2.546 2.546
2.546 0.000 2.546
2.546 2.546 0.000
Cr Fe B
1 1 2
Direct
0.000 0.000 0.000
0.500 0.500 0.500
0.250 0.250 0.250
0.750 0.750 0.750
```

---

Short version: run 2, run 1, run 3, run 4, most stable first.

---

Run 1
Here is a relaxed Cr3FeB crystal from Alexandria. Energies are from GGA-PBE.

Cell and atoms, written as POSCAR:
```
Cr3FeB
1.0
3.824 0.000 0.000
0.000 3.824 0.000
0.000 0.000 3.824
Cr Fe B
3 1 1
Direct
0.000 0.000 0.500
0.000 0.500 0.000
0.500 0.000 0.000
0.500 0.500 0.500
0.000 0.000 0.000
```

---

Run 2
Here is a relaxed Cr3FeB crystal from Alexandria. Energies are from GGA-PBE.

Cell and atoms, written as POSCAR:
```
Cr3FeB
1.0
4.102 0.000 0.000
0.000 4.102 0.000
0.000 0.000 4.102
Cr Fe B
3 1 1
Direct
0.000 0.000 0.500
0.000 0.500 0.000
0.500 0.000 0.000
0.000 0.000 0.000
0.500 0.500 0.500
```

---

Short version: run 1, run 2, most stable first.

---

Run 1
Here is a relaxed CrGaB2 crystal from Alexandria. Energies are from GGA-PBE.

Cell and atoms, written as POSCAR:
```
CrGaB2
1.0
0.000 2.713 2.713
2.713 0.000 2.713
2.713 2.713 0.000
Cr Ga B
1 1 2
Direct
0.000 0.000 0.000
0.500 0.500 0.500
0.250 0.250 0.250
0.750 0.750 0.750
```

---

Run 2
Here is a relaxed CrGaB2 crystal from Alexandria. Energies are from GGA-PBE.

Cell and atoms, written as POSCAR:
```
CrGaB2
1.0
-2.768 2.768 2.982
2.768 -2.768 2.982
2.768 2.768 -2.982
Cr Ga B
2 2 4
Direct
0.000 0.000 0.000
0.750 0.250 0.500
0.250 0.750 0.500
0.500 0.500 0.000
0.118 0.625 0.993
0.375 0.368 0.493
0.632 0.125 0.007
0.875 0.882 0.507
```

---

Short version: run 2, run 1, most stable first.

---

Run 1
Here is a relaxed Cr2GaB crystal from Alexandria. Energies are from GGA-PBE.

Cell and atoms, written as POSCAR:
```
Cr2GaB
1.0
0.000 2.789 2.789
2.789 0.000 2.789
2.789 2.789 0.000
Cr Ga B
2 1 1
Direct
0.250 0.250 0.250
0.750 0.750 0.750
0.000 0.000 0.000
0.500 0.500 0.500
```

---

Run 2
Here is a relaxed Cr2GaB crystal from Alexandria. Energies are from GGA-PBE.

Cell and atoms, written as POSCAR:
```
Cr2GaB
1.0
-1.699 1.699 8.331
1.699 -1.699 8.331
1.699 1.699 -8.331
Cr Ga B
4 2 2
Direct
0.073 0.625 0.948
0.375 0.323 0.448
0.677 0.125 0.052
0.875 0.927 0.552
0.250 0.750 0.500
0.500 0.500 0.000
0.000 0.000 0.000
0.750 0.250 0.500
```

---

Short version: run 1, run 2, most stable first.

---

Run 1
Here is a relaxed CrBH2 crystal from Alexandria. Energies are from GGA-PBE.

Cell and atoms, written as POSCAR:
```
CrBH2
1.0
-1.500 1.500 5.384
1.500 -1.500 5.384
1.500 1.500 -5.384
Cr B H
2 2 4
Direct
0.000 0.000 0.000
0.750 0.250 0.500
0.250 0.750 0.500
0.500 0.500 0.000
0.152 0.625 0.027
0.375 0.402 0.527
0.598 0.125 0.973
0.875 0.848 0.473
```

---

Run 2
Here is a relaxed CrBH2 crystal from Alexandria. Energies are from GGA-PBE.

Cell and atoms, written as POSCAR:
```
CrBH2
1.0
0.000 2.241 2.241
2.241 0.000 2.241
2.241 2.241 0.000
Cr B H
1 1 2
Direct
0.000 0.000 0.000
0.500 0.500 0.500
0.250 0.250 0.250
0.750 0.750 0.750
```

---

Short version: run 1, run 2, most stable first.

---

Run 1
Here is a relaxed CrB3H crystal from Alexandria. Energies are from GGA-PBE.

Cell and atoms, written as POSCAR:
```
CrB3H
1.0
3.146 0.000 0.000
0.000 3.146 0.000
0.000 0.000 3.146
Cr B H
1 3 1
Direct
0.000 0.000 0.000
0.000 0.500 0.500
0.500 0.000 0.500
0.500 0.500 0.000
0.500 0.500 0.500
```

---

Run 2
Here is a relaxed CrB3H crystal from Alexandria. Energies are from GGA-PBE.

Cell and atoms, written as POSCAR:
```
CrB3H
1.0
3.888 0.000 0.000
0.000 3.888 0.000
0.000 0.000 3.888
Cr B H
1 3 1
Direct
0.000 0.000 0.000
0.000 0.000 0.500
0.000 0.500 0.000
0.500 0.000 0.000
0.500 0.500 0.500
```

---

Short version: run 1, run 2, most stable first.

---

Run 1
Here is a relaxed Cr2BHRh crystal from Alexandria. Energies are from GGA-PBE.

Cell and atoms, written as POSCAR:
```
Cr2BHRh
1.0
4.698 0.000 0.000
0.000 4.698 0.000
0.000 0.000 3.079
Cr B H Rh
2 1 1 1
Direct
0.000 0.500 0.000
0.500 0.000 0.000
0.000 0.000 0.500
0.500 0.500 0.500
0.500 0.500 0.000
```

---

Run 2
Here is a relaxed Cr2BHRh crystal from Alexandria. Energies are from GGA-PBE.

Cell and atoms, written as POSCAR:
```
Cr2BHRh
1.0
3.359 0.000 0.000
0.000 3.359 0.000
0.000 0.000 4.133
Cr B H Rh
2 1 1 1
Direct
0.000 0.500 0.000
0.500 0.000 0.000
0.000 0.000 0.500
0.000 0.000 0.000
0.500 0.500 0.500
```

---

Short version: run 2, run 1, most stable first.